First-principles (PBE-GGA) data for crystalline Cd3SnIr at its relaxed geometry, as listed in the Alexandria database.

Calculated values
- Symmetry: No. 221
- DFT total energy: -13.65 eV/f.u.
- Polymorph energy (0 for the lowest one): 0 meV/atom
- V: 139.1 Å³/cell
- DFT formation energy: 2.0 eV per formula unit

```
5
Lattice="5.181 0.000 0.000 0.000 5.181 0.000 0.000 0.000 5.181" Properties=species:S:1:pos:R:3 pbc="T T T"
Cd 0.000 0.000 2.590
Cd 0.000 2.590 0.000
Cd 2.590 0.000 0.000
Sn 2.590 2.590 2.590
Ir 0.000 0.000 0.000
```